(1)
This record from Alexandria via LeMat-Bulk describes BaAl2InAu4 after structural relaxation. The functional is PBE. Values from VASP.

Quantum ESPRESSO input file:
```
&SYSTEM
  ibrav = 0, nat = 8, ntyp = 4
/
ATOMIC_SPECIES
Ba 137.33 Ba.upf
Al 26.98 Al.upf
In 114.82 In.upf
Au 196.97 Au.upf
CELL_PARAMETERS angstrom
2.204 1.272 10.888
-2.204 1.272 10.888
0.000 -2.544 10.888
ATOMIC_POSITIONS crystal
Ba 0.000 0.000 0.000
Al 0.243 0.243 0.243
Al 0.757 0.757 0.757
In 0.500 0.500 0.500
Au 0.120 0.120 0.120
Au 0.404 0.404 0.404
Au 0.596 0.596 0.596
Au 0.880 0.880 0.880
```

Energy, eV per atom: -3.583
DOS at the Fermi energy, states/eV per cell: 3.1
Formation enthalpy at 0 K, kJ/mol of atoms: -41.1

(2)
This record from Alexandria via LeMat-Bulk describes Ga2H2Ir after structural relaxation. The functional is PBE. Values from VASP.

Quantum ESPRESSO input file:
```
&SYSTEM
  ibrav = 0, nat = 10, ntyp = 3
/
ATOMIC_SPECIES
Ga 69.72 Ga.upf
H 1.01 H.upf
Ir 192.22 Ir.upf
CELL_PARAMETERS angstrom
6.842 0.000 0.000
0.000 6.842 0.000
0.000 0.000 2.958
ATOMIC_POSITIONS crystal
Ga 0.246 0.254 0.000
Ga 0.254 0.754 0.000
Ga 0.746 0.246 0.000
Ga 0.754 0.746 0.000
H 0.040 0.540 0.500
H 0.460 0.040 0.500
H 0.540 0.960 0.500
H 0.960 0.460 0.500
Ir 0.000 0.000 0.000
Ir 0.500 0.500 0.000
```

Energy, eV per atom: -4.244
DOS at the Fermi energy, states/eV per cell: 3.1